The following is a DFT calculation (PBE with a Hubbard U) of a relaxed structure of CeNiO3. Values from VASP.

Results
* final energy: -6.76 eV/atom
* calculated volume: 55.86 Å³/cell

The structure in Quantum ESPRESSO input format:
```
&SYSTEM
  ibrav = 0, nat = 5, ntyp = 3
/
ATOMIC_SPECIES
Ce 140.12 Ce.upf
Ni 58.69 Ni.upf
O 16.00 O.upf
CELL_PARAMETERS angstrom
3.823 0.000 0.000
0.000 3.823 0.000
0.000 0.000 3.823
ATOMIC_POSITIONS crystal
Ce 0.000 0.000 0.000
Ni 0.500 0.500 0.500
O 0.000 0.500 0.500
O 0.500 0.000 0.500
O 0.500 0.500 0.000
```